# PBE-GGA ZrSc5In4, relaxed
data_ZrSc5In4
_cell_length_a 3.211
_cell_length_b 4.309
_cell_length_c 16.406
_cell_angle_alpha 90.00
_cell_angle_beta 90.00
_cell_angle_gamma 90.00
_space_group_name_H-M_alt 'P 1'
_space_group_IT_number 1
loop_
_space_group_symop_operation_xyz
'x,y,z'
loop_
_atom_site_label
_atom_site_type_symbol
_atom_site_fract_x
_atom_site_fract_y
_atom_site_fract_z
Zr1 Zr 0.000 0.000 0.000
Sc1 Sc 0.500 0.500 0.102
Sc2 Sc 0.500 0.500 0.303
Sc3 Sc 0.500 0.500 0.500
Sc4 Sc 0.500 0.500 0.697
Sc5 Sc 0.500 0.500 0.898
In1 In 0.000 0.000 0.199
In2 In 0.000 0.000 0.401
In3 In 0.000 0.000 0.599
In4 In 0.000 0.000 0.801
# - energy of formation (eV/atom) = -0.341
# - volume (Å³ per cell) = 227.0
# - calculated density (kg/m3) = 5671
# - distance to the lowest polymorph of the same formula (meV/atom) = 20.5